9
Lattice="8.218 0.000 0.000 -4.109 7.117 0.000 0.000 0.000 3.718" Properties=species:S:1:pos:R:3 comment="Cd2Hg (PBE-GGA, relaxed)" space_group=P-62m dft_energy_ev_per_atom=-0.6650 m_tot_mub_per_fu=0.00 n_ef_per_ev_atom=0.49 pbc="T T T"
Cd -1.194 2.068 0.000
Cd -2.581 4.470 1.859
Cd 2.387 0.000 0.000
Cd 2.915 5.050 0.000
Cd 5.161 0.000 1.859
Cd 1.528 2.647 1.859
Hg 0.000 0.000 1.859
Hg 0.000 4.745 0.000
Hg 4.109 2.372 0.000



7
Lattice="4.515 0.000 0.000 0.000 4.515 0.000 0.000 0.000 9.682" Properties=species:S:1:pos:R:3 comment="CdHg6 (PBE-GGA, relaxed)" polymorph_energy_ev_per_atom=0.0000 space_group=P4/mmm m_tot_mub_per_fu=0.00 n_ef_per_ev_atom=0.28 pbc="T T T"
Cd 0.000 0.000 0.000
Hg 0.000 0.000 4.841
Hg 2.258 2.258 0.000
Hg 2.258 0.000 7.098
Hg 0.000 2.258 2.584
Hg 2.258 0.000 2.584
Hg 0.000 2.258 7.098



4
Lattice="-1.237 -5.014 -0.538 5.030 -1.189 -0.491 0.261 -0.475 3.826" Properties=species:S:1:pos:R:3 comment="CdHg3 (PBE-GGA, relaxed)" polymorph_energy_ev_per_atom=0.0108 space_group=P4/mmm m_tot_mub_per_fu=0.00 n_ef_per_ev_atom=0.18 pbc="T T T"
Hg 2.646 -0.832 1.668
Hg -0.488 -2.744 1.644
Hg 1.896 -3.101 -0.515
Cd 0.000 0.000 0.000



6
Lattice="-0.074 -1.614 5.718 -4.911 -2.378 2.352 4.804 -3.380 -0.892" Properties=species:S:1:pos:R:3 comment="Cd2Hg (PBE-GGA, relaxed)" space_group=Fd-3m dft_energy_ev_per_atom=-0.6243 m_tot_mub_per_fu=0.00 n_ef_per_ev_atom=0.55 pbc="T T T"
Cd -2.492 -1.996 4.035
Cd -2.455 -1.189 1.176
Cd -0.037 -0.807 2.859
Cd 2.365 -2.497 2.413
Hg 0.509 -3.274 5.257
Hg -0.690 -4.098 1.922



6
Lattice="6.373 0.000 0.000 3.187 5.520 0.000 -3.187 1.840 5.204" Properties=species:S:1:pos:R:3 comment="CdHg5 (PBE-GGA, relaxed)" space_group=F-43m dft_energy_ev_per_atom=-0.3334 m_tot_mub_per_fu=0.00 pbc="T T T"
Cd 0.000 0.000 0.000
Hg 4.780 4.600 3.252
Hg 3.187 1.840 1.301
Hg 0.000 1.840 3.252
Hg 6.373 3.680 0.651
Hg 1.593 4.600 3.252



4
Lattice="3.274 0.000 0.199 0.000 5.096 0.000 1.381 0.000 6.313" Properties=species:S:1:pos:R:3 comment="CdHg3 (PBE-GGA, relaxed)" polymorph_energy_ev_per_atom=0.0109 space_group=P2/m m_tot_mub_per_fu=0.00 n_ef_per_ev_atom=0.16 pbc="T T T"
Hg 3.695 2.548 4.927
Hg 2.328 0.000 3.256
Hg 0.960 2.548 1.586
Cd 0.000 0.000 0.000